Record 1
Here is an optimized crystal structure of PrDyZn6 from the Open Quantum Materials Database. Energies are from PBE-GGA.

Energy relative to the elements (kcal/mol of atoms): -6.400
Mass density (g cm⁻³): 7.69
Crystal system: orthorhombic
Final energy (Ry/atom): -0.1763

a = 4.7352 Å, b = 6.7039 Å, c = 4.7357 Å
α = 90.00°, β = 90.00°, γ = 90.00°
Last column: nearest neighbours and their distance in Å.
Space group Pmm2 (No. 25)
Symmetry-distinct sites (fractional):
Pr1 0.0000 0.0000 0.0000  8 Zn 2.94-2.95
Dy1 0.5000 0.5000 0.4943  8 Zn 2.85-2.86
Zn1 0.0000 0.2613 0.5010  4 Zn 2.85-2.95, 2 Dy 2.86, 2 Pr 2.94-2.95
Zn2 0.0000 0.5000 0.9992  8 Zn 2.85-2.86
Zn3 0.5000 0.0000 0.4969  8 Zn 2.93-2.96
Zn4 0.5000 0.2614 0.9936  2 Dy 2.85-2.86, 4 Zn 2.86-2.96, 2 Pr 2.95

Record 2
Here is an optimized crystal structure of CsHoZnO3 from the Open Quantum Materials Database. Energies are from PBE-GGA.

Mass density (g cm⁻³): 6.39
Crystal system: orthorhombic
Final energy (Ry/atom): -0.4294

a = 3.5506 Å, b = 13.3051 Å, c = 9.0529 Å
α = 90.00°, β = 90.00°, γ = 90.00°
Last column: nearest neighbours and their distance in Å.
Space group Cmcm (No. 63)
Symmetry-distinct sites (fractional):
Cs1 0.0000 0.2235 0.2500  8 O 3.12-3.41, 2 Zn 3.45
Ho1 0.0000 0.5000 0.0000  6 O 2.30
Zn1 0.0000 0.0545 0.7500  4 O 1.92-2.11
O1 0.0000 0.1044 0.5507  1 Zn 1.92
O2 0.0000 0.4692 0.7500  2 Zn 2.11, 2 Ho 2.30

Record 3
Here is an optimized crystal structure of DyMgPd from the Open Quantum Materials Database. Energies are from PBE-GGA.

Mass density (g cm⁻³): 6.27
Crystal system: cubic
Final energy (Ry/atom): -0.2706

a = 6.7719 Å, b = 6.7719 Å, c = 6.7719 Å
α = 90.00°, β = 90.00°, γ = 90.00°
Last column: nearest neighbours and their distance in Å.
Space group F-43m (No. 216)
Symmetry-distinct sites (fractional):
Dy1 0.0000 0.0000 0.0000  4 Mg 2.93, 4 Pd 2.93
Mg1 0.2500 0.2500 0.7500  4 Dy 2.93
Pd1 0.2500 0.2500 0.2500  4 Dy 2.93

- Look up the mass density of the third one.
  6.27 g cm⁻³

- Which of these has the lowest final energy?
  CsHoZnO3

- What is the formula in the third record?
  DyMgPd